(1)
The following is a DFT calculation (PBE) of a geometry-optimized KAsBr2 structure.

abc: 5.5203 5.5203 5.5203
angles: 60.00 60.00 60.00
Last column: magnetic moment on the atom in μB.
Sites, in units of the cell vectors:
Br 0.2500 0.2500 0.2500  0.11
Br 0.7500 0.7500 0.7500  0.11
K 0.0000 0.0000 0.0000  0.01
As 0.5000 0.5000 0.5000  0.82

Values from the calculation:
The calculation puts the density of states at the Fermi level at 5.485 states/eV/cell. Its space group is Fm-3m.

***

(2)
The following is a DFT calculation (PBE) of a geometry-optimized KAs2Br6 structure.

abc: 11.0677 9.4500 9.4500
angles: 83.88 64.73 64.73
Sites, in units of the cell vectors:
Br 0.1205 0.8244 0.8748
Br 0.6690 0.5993 0.1414
Br 0.4603 0.3568 0.4057
Br 0.8310 0.8586 0.4007
Br 0.3795 0.1252 0.1756
Br 0.3310 0.4007 0.8586
Br 0.0397 0.5943 0.6432
Br 0.1690 0.1414 0.5993
Br 0.5397 0.6432 0.5943
Br 0.8795 0.1756 0.1252
Br 0.6205 0.8748 0.8244
Br 0.9603 0.4057 0.3568
As 0.2849 0.5876 0.6749
As 0.7849 0.6749 0.5876
As 0.2151 0.3251 0.4124
As 0.7151 0.4124 0.3251
K 0.2500 0.0801 0.9199
K 0.7500 0.9199 0.0801

Values from the calculation:
The calculation puts the density of states at the Fermi level at 0.460 states/eV/cell. Its space group is C2/c.

***

(3)
The following is a DFT calculation (PBE) of a geometry-optimized KAs2Br structure.

abc: 5.3070 5.3070 5.3070
angles: 60.00 60.00 60.00
Sites, in units of the cell vectors:
As 0.7500 0.7500 0.7500
As 0.2500 0.2500 0.2500
K 0.0000 0.0000 0.0000
Br 0.5000 0.5000 0.5000

Values from the calculation:
The calculation puts the density of states at the Fermi level at 3.092 states/eV/cell. Its space group is Fm-3m.

***

(4)
The following is a DFT calculation (PBE) of a geometry-optimized KAsBr4 structure.

abc: 6.5036 6.5036 6.5036
angles: 60.00 60.00 60.00
Last column: magnetic moment on the atom in μB.
Sites, in units of the cell vectors:
Br 0.8752 0.3749 0.3749  -0.09
Br 0.3749 0.3749 0.8752  -0.09
Br 0.3749 0.8752 0.3749  -0.09
Br 0.3749 0.3749 0.3749  -0.09
K 0.7500 0.7500 0.7500  0.01
As 0.0000 0.0000 0.0000  1.08

Values from the calculation:
The calculation puts the density of states at the Fermi level at 8.198 states/eV/cell. Its space group is F-43m.

***

(5)
The following is a DFT calculation (PBE) of a geometry-optimized K2AsBr2 structure.

abc: 8.4654 8.4654 4.4483
angles: 90.00 90.00 90.00
Sites, in units of the cell vectors:
K 0.8480 0.3480 0.5000
K 0.1520 0.6520 0.5000
K 0.6520 0.8480 0.5000
K 0.3480 0.1520 0.5000
Br 0.1627 0.3373 0.0000
Br 0.3373 0.8373 0.0000
Br 0.6627 0.1627 0.0000
Br 0.8373 0.6627 0.0000
As 0.0000 0.0000 0.0000
As 0.5000 0.5000 0.0000

Values from the calculation:
The calculation puts the density of states at the Fermi level at 6.728 states/eV/cell. Its space group is P4/mbm.

***

(6)
The following is a DFT calculation (PBE) of a geometry-optimized KAsBr structure.

abc: 5.6245 5.6245 5.6245
angles: 60.00 60.00 60.00
Last column: magnetic moment on the atom in μB.
Sites, in units of the cell vectors:
Br 0.7500 0.7500 0.7500  0.25
K 0.0000 0.0000 0.0000  0.01
As 0.5000 0.5000 0.5000  1.14

Values from the calculation:
Its space group is F-43m.

***

(7)
The following is a DFT calculation (PBE) of a geometry-optimized KAsBr2 structure.

abc: 7.6984 7.6984 4.2703
angles: 89.84 89.84 30.86
Last column: magnetic moment on the atom in μB.
Sites, in units of the cell vectors:
Br 0.0383 0.0383 0.1213  0.12
Br 0.7537 0.7537 0.6283  0.03
K 0.4605 0.4605 0.6222  0.01
As 0.2474 0.2474 0.1283  0.54

Values from the calculation:
The calculation puts the density of states at the Fermi level at 1.911 states/eV/cell. Its space group is Cm.

***

(8)
The following is a DFT calculation (PBE) of a geometry-optimized K2AsBr structure.

abc: 5.7771 5.7771 5.7771
angles: 60.00 60.00 60.00
Last column: magnetic moment on the atom in μB.
Sites, in units of the cell vectors:
Br 0.7500 0.7500 0.7500  0.21
K 0.0000 0.0000 0.0000  0.01
K 0.2500 0.2500 0.2500  0.02
As 0.5000 0.5000 0.5000  0.70

Values from the calculation:
The calculation puts the density of states at the Fermi level at 1.688 states/eV/cell. Its space group is F-43m.

***

(9)
The following is a DFT calculation (PBE) of a geometry-optimized KAsBr2 structure.

abc: 7.2495 7.2495 8.0613
angles: 90.00 90.00 144.00
Last column: magnetic moment on the atom in μB.
Sites, in units of the cell vectors:
K 0.5000 0.5000 0.2500  0.00
As 0.5000 0.5000 0.7500  0.30
Br 0.0000 0.0000 0.9625  0.04
Br 0.0000 0.0000 0.5375  0.04

Values from the calculation:
The calculation puts the density of states at the Fermi level at 1.559 states/eV/cell. Its space group is Cmmm.

***

(10)
The following is a DFT calculation (PBE) of a geometry-optimized KAsBr structure.

abc: 3.8150 3.8150 7.3657
angles: 90.00 90.00 120.00
Last column: magnetic moment on the atom in μB.
Sites, in units of the cell vectors:
As 0.0000 0.0000 0.0204  0.30
Br 0.6667 0.3333 0.3387  0.09
K 0.3333 0.6667 0.6409  0.02

Values from the calculation:
The calculation puts the density of states at the Fermi level at 2.590 states/eV/cell. Its space group is P3m1.

***

Values for electronic total energy, eV/atom, ordered as above
-2.56; -2.89; -2.48; -1.88; -2.81; -2.58; -2.75; -2.46; -2.70; -2.48
Values for formation energy without anion corrections, kJ per mole of atoms, ordered as above
-28; -60; 51; 19; -74; -10; -46; -32; -42; 0